[1]
SrWCl: single point on PBEsol structure, meta-GGA SCAN.

Unit cell a=3.1692 b=3.1692 c=7.0310 alpha=90.00 beta=90.00 gamma=120.00
Positions (direct):
Sr  0.3333  0.6667  0.6668
Cl  0.0000  0.0000  0.0336
W  0.6667  0.3333  0.2996

Computed properties:
- SG: No. 156

---

[2]
Sr2WCl: single point on PBEsol structure, meta-GGA SCAN.

Unit cell a=4.3630 b=4.3630 c=6.1914 alpha=90.00 beta=90.00 gamma=90.00
Last column: magnetic moment on the atom in μB.
Positions (direct):
Sr  0.5000  0.5000  0.0000  0.08
Sr  0.0000  0.0000  0.5000  0.04
W  0.0000  0.0000  0.0000  2.29
Cl  0.5000  0.5000  0.5000  0.00

Computed properties:
- SG: No. 123

---

[3]
SrWCl: single point on PBEsol structure, meta-GGA SCAN.

Unit cell a=3.0439 b=3.0439 c=6.9145 alpha=102.72 beta=102.72 gamma=90.00
Positions (direct):
W  0.6549  0.6549  0.3098
Sr  0.3404  0.3404  0.6807
Cl  0.0047  0.0047  0.0095

Computed properties:
- SG: No. 107

---

[4]
Sr2WCl: single point on PBEsol structure, meta-GGA SCAN.

Unit cell a=4.3825 b=4.3825 c=7.0585 alpha=108.09 beta=108.09 gamma=90.00
Last column: magnetic moment on the atom in μB.
Positions (direct):
Sr  0.0000  0.0000  0.0000  0.12
Sr  0.7500  0.2500  0.5000  0.02
Cl  0.2500  0.7500  0.5000  0.04
W  0.5000  0.5000  0.0000  2.81

Computed properties:
- SG: No. 119

---

| no. | formation energy without anion corrections (eV per atom) | ΔE to the lowest computed polymorph (meV/atom) | raw total energy (eV/atom) |
| --- | --- | --- | --- |
| 1 | 0.716 | 90 | -32.598 |
| 2 | 0.313 | 57 | -30.241 |
| 3 | 0.626 | 0 | -32.688 |
| 4 | 0.514 | 257 | -30.040 |